Here is crystalline Ca3TbPr3S8 at its relaxed geometry from Alexandria. Energies are from PBE.

It has space group R-3m (No. 166, hexagonal axes), with a = 8.1235 Å, b = 8.1235 Å, c = 19.9169 Å, α = 90.00°, β = 90.00° and γ = 120.00°. The asymmetric unit holds Ca at (0.0000, 0.5000, 0.0000), Tb at (0.0000, 0.0000, 0.5000), Pr at (0.0000, 0.5000, 0.5000), S at (0.0000, 0.0000, 0.2526) and S at (0.0133, 0.5067, 0.2479).

The density of states at the Fermi level is 0.304 states/eV per atom. For the magnetization, the calculation gives 0.000 μB/atom. For the volume, the calculation gives 1138.23 Å³/cell.



Here is crystalline CaPr2ThS4 at its relaxed geometry from Alexandria. Energies are from PBE.

It has space group P2/m (No. 10), with a = 7.0305 Å, b = 4.0468 Å, c = 7.0868 Å, α = 90.00°, β = 109.17° and γ = 90.00°. The asymmetric unit holds Ca at (0.0000, 0.0000, 0.0000), Pr at (0.5000, 0.0000, 0.5000), Pr at (0.5000, 0.5000, 0.0000), Th at (0.0000, 0.5000, 0.5000), S at (0.2385, 0.5000, 0.2440) and S at (0.2411, 0.0000, 0.7512).

The density of states at the Fermi level is 0.485 states/eV per atom. For the magnetization, the calculation gives 0.000 μB/atom. For the volume, the calculation gives 190.45 Å³/cell.



| no. | E_tot (eV for the cell shown) |
| --- | --- |
| 1 | -267.11 |
| 2 | -51.28 |